1.
# Al2SiTc

Al2SiTc after structural relaxation (PBE, the Alexandria database).

Computed properties:
The raw formation energy comes out at -256 meV per atom. Its theoretical density is 5.2 Mg/m³. For the raw total energy, the calculation gives -6.074 eV per atom.

Lattice parameters (Å, degrees): 4.8501 4.8501 4.5499 64.32 64.32 37.40
Fractional coordinates of all 4 atoms:
Si (0.5117, 0.5117, 0.4105)
Tc (0.2414, 0.2414, 0.3379)
Al (0.7545, 0.7545, 0.7993)
Al (0.9924, 0.9924, 0.9522)

---

2.
# Al2SiTc

Al2SiTc after structural relaxation (PBE, the Alexandria database).

Computed properties:
The raw formation energy comes out at -175 meV per atom. Its theoretical density is 5.3 Mg/m³. For the raw total energy, the calculation gives -5.994 eV per atom.

Lattice parameters (Å, degrees): 4.7371 4.7371 4.7371 132.65 132.65 69.21
Fractional coordinates of all 4 atoms:
Si (0.5000, 0.5000, 0.0000)
Al (0.2500, 0.7500, 0.5000)
Al (0.0000, 0.0000, 0.0000)
Tc (0.7500, 0.2500, 0.5000)

---

What did the first record say?
# Al2SiTc

Al2SiTc after structural relaxation (PBE, the Alexandria database).

Computed properties:
The raw formation energy comes out at -256 meV per atom. Its theoretical density is 5.2 Mg/m³. For the raw total energy, the calculation gives -6.074 eV per atom.

Lattice parameters (Å, degrees): 4.8501 4.8501 4.5499 64.32 64.32 37.40
Fractional coordinates of all 4 atoms:
Si (0.5117, 0.5117, 0.4105)
Tc (0.2414, 0.2414, 0.3379)
Al (0.7545, 0.7545, 0.7993)
Al (0.9924, 0.9924, 0.9522)

---

The highest raw formation energy belongs to which entry?
number 2

---

Number 1 is which compound?
Al2SiTc

---

What is the theoretical density in the first record?
5.2 Mg/m³